Y2AsPdPb | PBE | relaxed

Values from the calculation:
formation enthalpy at 0 K	-109	kJ/mol of formula units
raw total energy	-5.52	eV/atom

Unit cell a=5.4089 b=5.0294 c=5.4089 alpha=90.00 beta=90.00 gamma=90.00
Fractional coordinates of all 5 atoms:
Pb 0.0000 0.5000 0.0000
Y 0.0000 0.0000 0.5000
Y 0.5000 0.0000 0.0000
As 0.5000 0.5000 0.5000
Pd 0.0000 0.0000 0.0000

IrRuAu2 | PBE | relaxed

Values from the calculation:
distance to the lowest polymorph of the same formula	781	meV/atom
formation enthalpy at 0 K	366	kJ/mol of formula units
raw total energy	-5.23	eV/atom

Unit cell a=7.3682 b=7.3682 c=5.8295 alpha=50.80 beta=50.80 gamma=90.00
Fractional coordinates of all 8 atoms:
Ru 0.5000 0.5000 0.0000
Ru 0.2500 0.7500 0.5000
Ir 0.0000 0.0000 0.0000
Ir 0.7500 0.2500 0.5000
Au 0.6244 0.1250 0.2500
Au 0.1256 0.6250 0.2500
Au 0.3750 0.3756 0.7500
Au 0.8750 0.8744 0.7500

Quick rundown of spin magnetization, same order as above: 0.0, 0.0 μB per formula unit